[1]
An optimized crystal structure of Ac4Co2Ag. Source: Alexandria, functional PBE.

a = 4.2916 Å, b = 13.9884 Å, c = 14.4607 Å
α = 90.00°, β = 90.00°, γ = 90.00°
Space group Cmcm (No. 63)
Unique sites:
Ac: 0.0000 0.0000 0.0000 [4 per cell]
Ac: 0.0000 0.2675 0.1085 [8 per cell]
Ac: 0.0000 0.4347 0.7500 [4 per cell]
Co: 0.0000 0.3703 0.5641 [8 per cell]
Ag: 0.0000 0.1143 0.7500 [4 per cell]

For the volume, the calculation gives 31.0 Å³/atom. The calculation puts the theoretical density at 8.7 g/cm³. As for the energy of formation from the pure elements: -0.080 eV/atom.


[2]
An optimized crystal structure of Ac14Co3Ag6. Source: Alexandria, functional PBE.

a = 11.0241 Å, b = 11.0241 Å, c = 7.4957 Å
α = 90.00°, β = 90.00°, γ = 120.00°
Space group P3m1 (No. 156)
Unique sites:
Ac: 0.0000 0.0000 0.0000 [1 per cell]
Ac: 0.0822 0.5411 0.2909 [3 per cell]
Ac: 0.2058 0.4116 0.7559 [3 per cell]
Ac: 0.2464 0.1232 0.4631 [3 per cell]
Ac: 0.4186 0.2093 0.9721 [3 per cell]
Ac: 0.6667 0.3333 0.5078 [1 per cell]
Co: 0.0000 0.0000 0.6555 [1 per cell]
Co: 0.3333 0.6667 0.5285 [1 per cell]
Co: 0.6667 0.3333 0.1622 [1 per cell]
Ag: 0.1475 0.2950 0.1856 [3 per cell]
Ag: 0.5209 0.0418 0.6993 [3 per cell]

For the volume, the calculation gives 34.3 Å³/atom. The calculation puts the theoretical density at 8.4 g/cm³. As for the energy of formation from the pure elements: -0.087 eV/atom.


[3]
An optimized crystal structure of Ac4CoAg2. Source: Alexandria, functional PBE.

a = 5.4088 Å, b = 5.4088 Å, c = 16.4319 Å
α = 90.00°, β = 90.00°, γ = 90.00°
Space group I4/mmm (No. 139)
Unique sites:
Ac: 0.0000 0.0000 0.1814 [4 per cell]
Ac: 0.0000 0.5000 0.0000 [4 per cell]
Co: 0.0000 0.0000 0.0000 [2 per cell]
Ag: 0.0000 0.0000 0.3730 [4 per cell]

For the volume, the calculation gives 34.3 Å³/atom. The calculation puts the theoretical density at 8.2 g/cm³. As for the energy of formation from the pure elements: -0.057 eV/atom.


[4]
An optimized crystal structure of AcErCoAg. Source: Alexandria, functional PBE.

a = 7.3131 Å, b = 7.3131 Å, c = 7.3131 Å
α = 90.00°, β = 90.00°, γ = 90.00°
Space group F-43m (No. 216)
Unique sites:
Ac: 0.0000 0.0000 0.0000 [4 per cell]
Er: 0.0000 0.0000 0.5000 [4 per cell]
Co: 0.2500 0.2500 0.7500 [4 per cell]
Ag: 0.2500 0.2500 0.2500 [4 per cell]

For the volume, the calculation gives 24.4 Å³/atom. The calculation puts the theoretical density at 9.5 g/cm³. As for the energy of formation from the pure elements: -0.021 eV/atom.


[5]
An optimized crystal structure of AcEuCoAg. Source: Alexandria, functional PBE.

a = 7.4614 Å, b = 7.4614 Å, c = 7.4614 Å
α = 90.00°, β = 90.00°, γ = 90.00°
Space group F-43m (No. 216)
Unique sites:
Ac: 0.0000 0.0000 0.0000 [4 per cell]
Eu: 0.0000 0.0000 0.5000 [4 per cell]
Co: 0.2500 0.2500 0.2500 [4 per cell]
Ag: 0.2500 0.2500 0.7500 [4 per cell]

For the volume, the calculation gives 26.0 Å³/atom. The calculation puts the theoretical density at 8.7 g/cm³. As for the energy of formation from the pure elements: 0.033 eV/atom.


[6]
An optimized crystal structure of Ac2Ga6CoAg. Source: Alexandria, functional PBE.

a = 9.7171 Å, b = 9.7200 Å, c = 6.8708 Å
α = 90.00°, β = 134.93°, γ = 90.00°
Space group C2/m (No. 12)
Unique sites:
Ac: 0.0000 0.2501 0.0000 [4 per cell]
Ga: 0.0000 0.2382 0.5000 [4 per cell]
Ga: 0.2383 0.0000 0.5003 [4 per cell]
Ga: 0.2381 0.0000 0.9764 [4 per cell]
Co: 0.0000 0.0000 0.5000 [2 per cell]
Ag: 0.0000 0.5000 0.5000 [2 per cell]

For the volume, the calculation gives 23.0 Å³/atom. The calculation puts the theoretical density at 7.5 g/cm³. As for the energy of formation from the pure elements: -0.208 eV/atom.